Entry 1:
Computed, not measured: a relaxed structure of LiTbRhPb at the GGA-PBE level of DFT.

Geometry as CIF:
```
data_LiTbRhPb
_chemical_formula_sum 'Li2 Tb2 Rh2 Pb2'
_cell_length_a 10.438
_cell_length_b 3.612
_cell_length_c 4.602
_cell_angle_alpha 90.00
_cell_angle_beta 107.35
_cell_angle_gamma 90.00
_space_group_name_H-M_alt 'C 1 m 1'
_space_group_IT_number 8
_space_group_name_Hall 'C -2y'
loop_
_atom_site_label
_atom_site_fract_x
_atom_site_fract_y
_atom_site_fract_z
Li1 0.000 0.000 0.000
Tb1 0.273 0.500 0.257
Rh1 0.273 0.000 0.759
Pb1 0.039 0.500 0.565
```

Properties
Density of states at the Fermi level: 1.8 states/eV/f.u.
Total moment: 0.00 Bohr magnetons per cell
Energy above the lowest structure with this stoichiometry: 49.7 kJ/mol of formula units


Entry 2:
Computed, not measured: a relaxed structure of KLiZr2 at the GGA-PBE level of DFT.

Geometry as CIF:
```
data_KLiZr2
_chemical_formula_sum 'K1 Li1 Zr2'
_cell_length_a 3.019
_cell_length_b 5.713
_cell_length_c 6.253
_cell_angle_alpha 90.00
_cell_angle_beta 90.00
_cell_angle_gamma 90.00
_space_group_name_H-M_alt 'P m m m'
_space_group_IT_number 47
_space_group_name_Hall '-P 2 2'
loop_
_atom_site_label
_atom_site_fract_x
_atom_site_fract_y
_atom_site_fract_z
K1 0.000 0.000 0.000
Li1 0.000 0.500 0.000
Zr1 0.500 0.258 0.500
```

Properties
Density of states at the Fermi level: 4.6 states/eV/f.u.
Total moment: 0.00 Bohr magnetons per cell
Energy above the lowest structure with this stoichiometry: 169.3 kJ/mol of formula units